Co3W10: optimized geometry, PBE-GGA.

The structure in POSCAR format:
```
Co3W10
1.0
2.5568 1.4762 8.9228
-2.5568 1.4762 8.9228
0.0000 -2.9524 8.9228
Co W
3 10
Direct
0.0000 0.0000 0.0000
0.4551 0.4551 0.4551
0.5449 0.5449 0.5449
0.5868 0.0907 0.0907
0.0907 0.5868 0.0907
0.1662 0.1662 0.1662
0.3499 0.3499 0.3499
0.9093 0.9093 0.4132
0.0907 0.0907 0.5868
0.6501 0.6501 0.6501
0.8338 0.8338 0.8338
0.9093 0.4132 0.9093
0.4132 0.9093 0.9093
```

Properties
The calculation puts the excess energy over the best structure of this formula in the dataset at 0 meV per atom. As for the space-group type: No. 166.


GdDy2In3CuPt2: optimized geometry, PBE-GGA.

The structure in POSCAR format:
```
GdDy2In3CuPt2
1.0
-0.3544 -3.7347 -0.1718
6.9185 -0.8129 3.3994
-6.4241 0.4110 4.3180
Cu Dy Gd In Pt
1 2 1 3 2
Direct
0.0000 0.0005 0.0005
0.0000 0.4105 0.0000
0.0000 0.0000 0.4105
0.0000 0.5893 0.5893
0.5000 0.7449 0.0007
0.5000 0.2551 0.2551
0.5000 0.0007 0.7449
0.5000 0.6673 0.3318
0.5000 0.3318 0.6673
```

Properties
As for the space-group type: No. 38. For the final energy, the calculation gives -5.05 eV per atom.


AcHoHf: optimized geometry, PBE-GGA.

The structure in POSCAR format:
```
AcHoHf
1.0
-1.0190 -4.1073 -3.3357
-5.0768 -1.1330 -1.4062
-1.6826 0.9656 -5.0271
Ac Hf Ho
1 1 1
Direct
0.0000 0.0000 0.0000
0.2500 0.2500 0.2500
0.7500 0.7500 0.7500
```

Properties
The calculation puts the excess energy over the best structure of this formula in the dataset at 336 meV per atom. As for the space-group type: No. 216.


YHfFePb: optimized geometry, PBE-GGA.

The structure in POSCAR format:
```
YHfFePb
1.0
0.0000 3.4826 3.4826
3.4826 0.0000 3.4826
3.4826 3.4826 0.0000
Fe Hf Pb Y
1 1 1 1
Direct
0.7500 0.7500 0.7500
0.5000 0.5000 0.5000
0.0000 0.0000 0.0000
0.2500 0.2500 0.2500
```

Properties
The calculation puts the excess energy over the best structure of this formula in the dataset at 0 meV per atom. As for the space-group type: No. 216.